Entry 1:
# AlZnAsO6 | Alexandria via LeMat-Bulk | PBE-GGA | relaxed
data_AlZnAsO6
_chemical_formula_sum 'Al2 Zn2 As2 O12'
_space_group_name_H-M_alt 'P -3 1 c'
_space_group_IT_number 163
_space_group_name_Hall '-P 3 2c'
_cell_length_a 4.9529
_cell_length_b 4.9529
_cell_length_c 8.6520
_cell_angle_alpha 90.00
_cell_angle_beta 90.00
_cell_angle_gamma 120.00
loop_
_atom_site_label
_atom_site_type_symbol
_atom_site_fract_x
_atom_site_fract_y
_atom_site_fract_z
Al1 Al 0.3333 0.6667 0.2500
Zn1 Zn 0.0000 0.0000 0.0000
As1 As 0.3333 0.6667 0.7500
O1 O 0.0080 0.3597 0.6349
# - Formation energy (no corrections): -1.3996 eV per atom
# - E_tot: -5.78 eV per atom
# - Total magnetization: 4.07 Bohr magnetons per cell

Entry 2:
# Al2AsOs | Alexandria via LeMat-Bulk | PBE-GGA | relaxed
data_Al2AsOs
_chemical_formula_sum 'Al4 As2 Os2'
_space_group_name_H-M_alt 'I -4 m 2'
_space_group_IT_number 119
_space_group_name_Hall 'I -4 -2'
_cell_length_a 4.068
_cell_length_b 4.068
_cell_length_c 7.373
_cell_angle_alpha 90.00
_cell_angle_beta 90.00
_cell_angle_gamma 90.00
loop_
_atom_site_label
_atom_site_type_symbol
_atom_site_fract_x
_atom_site_fract_y
_atom_site_fract_z
Al1 Al 0.000 0.000 0.000
Al2 Al 0.000 0.500 0.250
As1 As 0.000 0.500 0.750
Os1 Os 0.000 0.000 0.500
# - E_tot: -5.74 eV per atom
# - Total magnetization: 0.00 Bohr magnetons per cell

Entry 3:
# Al4AsOs | Alexandria via LeMat-Bulk | PBE-GGA | relaxed
data_Al4AsOs
_chemical_formula_sum 'Al16 As4 Os4'
_space_group_name_H-M_alt 'F -4 3 m'
_space_group_IT_number 216
_space_group_name_Hall 'F -4 2 3'
_cell_length_a 7.226
_cell_length_b 7.226
_cell_length_c 7.226
_cell_angle_alpha 90.00
_cell_angle_beta 90.00
_cell_angle_gamma 90.00
loop_
_atom_site_label
_atom_site_type_symbol
_atom_site_fract_x
_atom_site_fract_y
_atom_site_fract_z
Al1 Al 0.125 0.125 0.125
As1 As 0.250 0.250 0.750
Os1 Os 0.000 0.000 0.500
# - E_tot: -4.82 eV per atom
# - Total magnetization: 0.00 Bohr magnetons per cell

Entry 4:
# Al2AsOs | Alexandria via LeMat-Bulk | PBE-GGA | relaxed
data_Al2AsOs
_chemical_formula_sum 'Al2 As1 Os1'
_space_group_name_H-M_alt 'P 4 m m'
_space_group_IT_number 99
_space_group_name_Hall 'P 4 -2'
_cell_length_a 2.974
_cell_length_b 2.974
_cell_length_c 7.429
_cell_angle_alpha 90.00
_cell_angle_beta 90.00
_cell_angle_gamma 90.00
loop_
_atom_site_label
_atom_site_type_symbol
_atom_site_fract_x
_atom_site_fract_y
_atom_site_fract_z
Al1 Al 0.000 0.000 0.000
Al2 Al 0.500 0.500 0.263
As1 As 0.000 0.000 0.581
Os1 Os 0.500 0.500 0.782
# - E_tot: -5.87 eV per atom
# - Total magnetization: 0.00 Bohr magnetons per cell

Entry 5:
# Al2AsOs | Alexandria via LeMat-Bulk | PBE-GGA | relaxed
data_Al2AsOs
_chemical_formula_sum 'Al4 As2 Os2'
_space_group_name_H-M_alt 'C m m m'
_space_group_IT_number 65
_space_group_name_Hall '-C 2 2'
_cell_length_a 5.412
_cell_length_b 7.506
_cell_length_c 2.949
_cell_angle_alpha 90.00
_cell_angle_beta 90.00
_cell_angle_gamma 90.00
loop_
_atom_site_label
_atom_site_type_symbol
_atom_site_fract_x
_atom_site_fract_y
_atom_site_fract_z
Al1 Al 0.250 0.250 0.000
As1 As 0.000 0.000 0.500
Os1 Os 0.000 0.500 0.500
# - E_tot: -5.87 eV per atom
# - Total magnetization: 0.00 Bohr magnetons per cell

Entry 6:
# AlAs2Os2 | Alexandria via LeMat-Bulk | PBE-GGA | relaxed
data_AlAs2Os2
_chemical_formula_sum 'Al2 As4 Os4'
_space_group_name_H-M_alt 'P 4/m b m'
_space_group_IT_number 127
_space_group_name_Hall '-P 4 2ab'
_cell_length_a 7.443
_cell_length_b 7.443
_cell_length_c 2.879
_cell_angle_alpha 90.00
_cell_angle_beta 90.00
_cell_angle_gamma 90.00
loop_
_atom_site_label
_atom_site_type_symbol
_atom_site_fract_x
_atom_site_fract_y
_atom_site_fract_z
Al1 Al 0.000 0.000 0.000
As1 As 0.142 0.358 0.000
Os1 Os 0.152 0.652 0.500
# - E above lowest polymorph: 167 meV per atom
# - E_tot: -6.62 eV per atom
# - Total magnetization: 0.00 Bohr magnetons per cell